Dy2Tm4Sc5: optimized geometry, PBE.

Values from the calculation:
- Mass density: 6.50 Mg/m³
- Excess energy over the best structure of this formula in the dataset: 14.0 meV/atom
- Size of the total moment: 0.00 μB/cell
- Calculated formation energy: 0.140 eV per atom
- D(E_F): 18.85 states/eV/cell

Unit cell a=3.3426 b=8.2730 c=13.7367 alpha=123.62 beta=96.99 gamma=90.00
Positions (direct):
Dy1 0.4118 0.5193 0.8235
Dy2 0.5882 0.4807 0.1765
Sc1 0.5000 0.0000 0.0000
Sc2 0.1877 0.9002 0.3754
Sc3 0.1293 0.2175 0.2587
Sc4 0.8707 0.7825 0.7413
Sc5 0.8123 0.0998 0.6246
Tm1 0.2735 0.3720 0.5470
Tm2 0.9560 0.2505 0.9120
Tm3 0.0440 0.7495 0.0880
Tm4 0.7265 0.6280 0.4530